Entry from the Alexandria database: a geometry-optimized BaCeTlAg structure (GGA-PBE).

Formation energy, eV/atom: -0.1099

Unit cell a=8.034 b=8.034 c=8.034 alpha=90.00 beta=90.00 gamma=90.00
Space group F-43m (No. 216)
Symmetry-distinct sites (fractional):
Ba 0.000 0.000 0.000 [4 per cell]
Ce 0.000 0.000 0.500 [4 per cell]
Tl 0.250 0.250 0.250 [4 per cell]
Ag 0.250 0.250 0.750 [4 per cell]